Entry from Alexandria: a relaxed structure of Li2Zn4Ni5 (PBE).

Computed properties:
The relative energy among the computed polymorphs is 0.0 kJ/mol of formula units. For the energy relative to the elements, the calculation gives -146 kJ/mol of formula units.

Cell lengths 4.410, 4.455, 6.862 Å; angles 91.18, 94.76, 99.48 degrees
Space group P-1 (No. 2)
Asymmetric unit:
Li (0.046, 0.086, 0.175) x2
Zn (0.305, 0.631, 0.263) x2
Zn (0.385, 0.817, 0.636) x2
Ni (0.148, 0.279, 0.550) x2
Ni (0.239, 0.467, 0.911) x2
Ni (0.500, 0.000, 0.000) x1